Record 1
An optimized crystal structure of FeIBr, computed with PBE-GGA.

ΔE to the lowest computed polymorph	29.1	meV per atom
E_form (uncorrected)	-0.27	eV per atom

a = 6.3900 Å, b = 7.4428 Å, c = 7.5110 Å
α = 124.40°, β = 114.67°, γ = 93.05°
Closest atoms and distances in Å follow each position.
Fractional coordinates of all 6 atoms:
Fe: 0.3855 0.7509 0.9780  2 Br 2.44, 1 Fe 2.52, 2 I 2.61-2.69
Fe: 0.8435 0.9723 0.2009  2 Br 2.44-2.50, 1 Fe 2.52, 2 I 2.62
I: 0.5216 0.8982 0.7848  2 Fe 2.61-2.62
I: 0.9461 0.3789 0.6232  2 Fe 2.62-2.69
Br: 0.7035 0.6527 0.1892  2 Fe 2.44
Br: 0.2631 0.0311 0.2575  2 Fe 2.44-2.50

=====

Record 2
An optimized crystal structure of LiFeGe, computed with PBE-GGA.

ΔH_f (0 K)	0.6	kcal/mol of atoms

a = 3.1139 Å, b = 3.1139 Å, c = 4.5221 Å
α = 110.14°, β = 110.14°, γ = 90.00°
Closest atoms and distances in Å follow each position.
Fractional coordinates of all 3 atoms:
Ge: 0.9425 0.9425 0.8850  5 Fe 2.51-2.73, 5 Li 2.56-2.61
Fe: 0.2886 0.2886 0.5773  5 Ge 2.51-2.73, 5 Li 2.58-2.61
Li: 0.6189 0.6189 0.2377  5 Ge 2.56-2.61, 5 Fe 2.58-2.61